# RbFe4O7 GGA+U optimized geometry
data_RbFe4O7
_chemical_formula_sum 'Rb2 Fe8 O14'
_cell_length_a 5.384
_cell_length_b 5.669
_cell_length_c 14.062
_cell_angle_alpha 90.00
_cell_angle_beta 90.00
_cell_angle_gamma 90.00
_space_group_name_H-M_alt 'P 1'
_space_group_IT_number 1
loop_
_space_group_symop_operation_xyz
'x,y,z'
loop_
_atom_site_label
_atom_site_fract_x
_atom_site_fract_y
_atom_site_fract_z
Fe1 0.085 0.324 0.380
Fe2 0.074 0.831 0.250
Fe3 0.085 0.324 0.620
Fe4 0.074 0.831 0.750
Fe5 0.574 0.169 0.250
Fe6 0.585 0.676 0.880
Fe7 0.585 0.676 0.120
Fe8 0.574 0.169 0.750
Rb1 0.143 0.163 0.000
Rb2 0.643 0.837 0.500
O1 0.418 0.873 0.215
O2 0.022 0.640 0.355
O3 0.522 0.360 0.855
O4 0.418 0.873 0.785
O5 0.918 0.127 0.285
O6 0.522 0.360 0.145
O7 0.418 0.247 0.363
O8 0.022 0.640 0.645
O9 0.918 0.753 0.137
O10 0.418 0.247 0.637
O11 0.918 0.127 0.715
O12 0.918 0.753 0.863
O13 0.978 0.241 0.500
O14 0.478 0.759 0.000
# magnetization	19.00	μB per formula unit
# VASP energy	-0.451	Ry per atom
# space group	No. 31